No. 1
This record from the Alexandria database describes crystalline CeErC at its relaxed geometry. The functional is GGA-PBE.

abc: 6.183 3.537 6.332
angles: 90.00 105.88 90.00
Atoms (fractional coordinates):
Ce 0.015 0.250 0.266
Ce 0.985 0.750 0.734
Er 0.477 0.250 0.719
Er 0.523 0.750 0.281
C 0.247 0.750 0.497
C 0.753 0.250 0.503

E above lowest polymorph in meV per atom: 18.4
ΔE_f in eV/atom: -0.2037
SG: P2_1/m, No. 11
Total DFT energy (no corrections) in eV/atom: -6.777

No. 2
This record from the Alexandria database describes crystalline CeEr3C2 at its relaxed geometry. The functional is GGA-PBE.

abc: 8.273 8.273 12.344
angles: 129.68 129.68 24.77
Atoms (fractional coordinates):
Ce 0.138 0.138 0.195
Ce 0.862 0.862 0.805
Er 0.137 0.137 0.696
Er 0.358 0.358 0.050
Er 0.361 0.361 0.554
Er 0.639 0.639 0.446
Er 0.642 0.642 0.950
Er 0.863 0.863 0.304
C 0.249 0.249 0.625
C 0.253 0.253 0.128
C 0.747 0.747 0.872
C 0.751 0.751 0.375

ΔE_f in eV/atom: -0.2610
SG: C2/m, No. 12
Total DFT energy (no corrections) in eV/atom: -6.606

No. 3
This record from the Alexandria database describes crystalline CeEr2C2 at its relaxed geometry. The functional is GGA-PBE.

abc: 9.565 9.565 9.565
angles: 21.68 21.68 21.68
Atoms (fractional coordinates):
Ce 0.000 0.000 0.000
Er 0.232 0.232 0.232
Er 0.768 0.768 0.768
C 0.391 0.391 0.391
C 0.609 0.609 0.609

ΔE_f in eV/atom: -0.2178
SG: R-3m, No. 166
Total DFT energy (no corrections) in eV/atom: -6.919

No. 4
This record from the Alexandria database describes crystalline CeEr2C at its relaxed geometry. The functional is GGA-PBE.

abc: 3.180 3.180 8.654
angles: 90.00 90.00 90.00
Atoms (fractional coordinates):
Ce 0.000 0.000 0.000
Er 0.500 0.500 0.344
Er 0.500 0.500 0.656
C 0.000 0.000 0.500

E above lowest polymorph in meV per atom: 347.5
ΔE_f in eV/atom: 0.2639
SG: P4/mmm, No. 123
Total DFT energy (no corrections) in eV/atom: -5.807

No. 5
This record from the Alexandria database describes crystalline CeErC2 at its relaxed geometry. The functional is GGA-PBE.

abc: 6.223 6.223 6.223
angles: 33.89 33.89 33.89
Atoms (fractional coordinates):
Ce 0.000 0.000 0.000
Er 0.500 0.500 0.500
C 0.251 0.251 0.251
C 0.749 0.749 0.749

E above lowest polymorph in meV per atom: 0.0
ΔE_f in eV/atom: -0.0373
SG: R-3m, No. 166
Total DFT energy (no corrections) in eV/atom: -7.273

No. 6
This record from the Alexandria database describes crystalline CeEr2C at its relaxed geometry. The functional is GGA-PBE.

abc: 9.911 9.911 9.911
angles: 20.06 20.06 20.06
Atoms (fractional coordinates):
Ce 0.000 0.000 0.000
Er 0.120 0.120 0.120
Er 0.880 0.880 0.880
C 0.500 0.500 0.500

E above lowest polymorph in meV per atom: 0.0
ΔE_f in eV/atom: -0.0836
SG: R-3m, No. 166
Total DFT energy (no corrections) in eV/atom: -6.155

No. 7
This record from the Alexandria database describes crystalline CeErC at its relaxed geometry. The functional is GGA-PBE.

abc: 3.532 3.532 6.610
angles: 105.37 105.37 60.01
Atoms (fractional coordinates):
Ce 0.000 0.000 0.000
Er 0.479 0.479 0.440
C 0.742 0.742 0.228

E above lowest polymorph in meV per atom: 0.0
ΔE_f in eV/atom: -0.2221
SG: Cm, No. 8
Total DFT energy (no corrections) in eV/atom: -6.796

No. 8
This record from the Alexandria database describes crystalline CeErC at its relaxed geometry. The functional is GGA-PBE.

abc: 3.526 3.526 6.362
angles: 90.00 90.00 120.00
Atoms (fractional coordinates):
Ce 0.000 0.000 0.000
Er 0.667 0.333 0.565
C 0.333 0.667 0.778

E above lowest polymorph in meV per atom: 18.2
ΔE_f in eV/atom: -0.2040
SG: P3m1, No. 156
Total DFT energy (no corrections) in eV/atom: -6.778

No. 9
This record from the Alexandria database describes crystalline CeErC at its relaxed geometry. The functional is GGA-PBE.

abc: 4.327 4.327 4.327
angles: 60.00 60.00 60.00
Atoms (fractional coordinates):
Ce 0.000 0.000 0.000
Er 0.500 0.500 0.500
C 0.250 0.250 0.250

E above lowest polymorph in meV per atom: 376.0
ΔE_f in eV/atom: 0.1539
SG: F-43m, No. 216
Total DFT energy (no corrections) in eV/atom: -6.420

No. 10
This record from the Alexandria database describes crystalline CeErFeC at its relaxed geometry. The functional is GGA-PBE.

abc: 3.637 3.637 10.932
angles: 90.00 90.00 90.00
Atoms (fractional coordinates):
Ce 0.250 0.750 0.000
Ce 0.750 0.250 0.000
Er 0.250 0.250 0.303
Er 0.750 0.750 0.697
Fe 0.250 0.750 0.500
Fe 0.750 0.250 0.500
C 0.250 0.250 0.577
C 0.750 0.750 0.423

ΔE_f in eV/atom: 0.1703
SG: P4/nmm, No. 129
Total DFT energy (no corrections) in eV/atom: -6.876

No. 11
This record from the Alexandria database describes crystalline CeEr2HgC at its relaxed geometry. The functional is GGA-PBE.

abc: 4.881 4.881 4.872
angles: 90.00 90.00 90.00
Atoms (fractional coordinates):
Ce 0.000 0.000 0.000
Er 0.000 0.500 0.500
Er 0.500 0.000 0.500
Hg 0.500 0.500 0.000
C 0.000 0.000 0.500

ΔE_f in eV/atom: -0.3475
SG: P4/mmm, No. 123
Total DFT energy (no corrections) in eV/atom: -5.265

No. 12
This record from the Alexandria database describes crystalline Ce2ErHgC at its relaxed geometry. The functional is GGA-PBE.

abc: 4.932 4.932 4.907
angles: 90.00 90.00 90.00
Atoms (fractional coordinates):
Ce 0.000 0.500 0.000
Ce 0.500 0.000 0.000
Er 0.000 0.000 0.500
Hg 0.500 0.500 0.500
C 0.000 0.000 0.000

ΔE_f in eV/atom: -0.2757
SG: P4/mmm, No. 123
Total DFT energy (no corrections) in eV/atom: -5.467